Entry 1:
## Na4Pm3HfO8 (GGA-PBE)

Data for crystalline Na4Pm3HfO8 at its relaxed geometry.

Properties
* ΔE_f (raw): -2.601 eV per atom
* size of the total moment: 0.000 μB/cell
* crystal system: trigonal

a b c (Å): 6.9335 6.9335 16.9805
angles (deg): 90.00 90.00 120.00
Space group R-3m (No. 166, hexagonal axes)
Inequivalent atoms, fractional coordinates:
Na (0.0000, 0.0000, 0.0000) (multiplicity 3)
Na (0.0000, 0.5000, 0.0000) (multiplicity 9)
Pm (0.0000, 0.5000, 0.5000) (multiplicity 9)
Hf (0.0000, 0.0000, 0.5000) (multiplicity 3)
O (0.0000, 0.0000, 0.2439) (multiplicity 6)
O (0.0358, 0.5179, 0.2355) (multiplicity 18)

***

Entry 2:
## NbRhS3 (GGA-PBE)

Data for crystalline NbRhS3 at its relaxed geometry.

Properties
* ΔE_f (raw): 0.516 eV per atom
* size of the total moment: 0.000 μB/cell
* crystal system: cubic

a b c (Å): 4.5287 4.5287 4.5287
angles (deg): 90.00 90.00 90.00
Space group Pm-3m (No. 221)
Inequivalent atoms, fractional coordinates:
Nb (0.0000, 0.0000, 0.0000) (multiplicity 1)
Rh (0.5000, 0.5000, 0.5000) (multiplicity 1)
S (0.0000, 0.5000, 0.5000) (multiplicity 3)

***

Entry 3:
## Na2TaTeO6 (GGA-PBE)

Data for crystalline Na2TaTeO6 at its relaxed geometry.

Properties
* ΔE_f (raw): -1.883 eV per atom
* size of the total moment: 0.000 μB/cell
* crystal system: tetragonal

a b c (Å): 5.6826 5.6826 4.0496
angles (deg): 90.00 90.00 90.00
Space group P4mm (No. 99)
Inequivalent atoms, fractional coordinates:
Na (0.0000, 0.5000, 0.0000) (multiplicity 2)
Ta (0.0000, 0.0000, 0.5228) (multiplicity 1)
Te (0.5000, 0.5000, 0.5495) (multiplicity 1)
O (0.0000, 0.0000, 0.0548) (multiplicity 1)
O (0.2464, 0.2464, 0.5665) (multiplicity 4)
O (0.5000, 0.5000, 0.0516) (multiplicity 1)

***

Entry 4:
## ZnMoSe2 (GGA-PBE)

Data for crystalline ZnMoSe2 at its relaxed geometry.

Properties
* ΔE_f (raw): 0.253 eV per atom
* size of the total moment: 0.000 μB/cell
* crystal system: orthorhombic

a b c (Å): 3.1630 5.0171 10.2091
angles (deg): 90.00 90.00 90.00
Space group Cmmm (No. 65)
Inequivalent atoms, fractional coordinates:
Zn (0.0000, 0.0000, 0.0000) (multiplicity 2)
Mo (0.0000, 0.0000, 0.5000) (multiplicity 2)
Se (0.0000, 0.5000, 0.2996) (multiplicity 4)

***

Entry 5:
## KCd2Sb (GGA-PBE)

Data for crystalline KCd2Sb at its relaxed geometry.

Properties
* ΔE_f (raw): -0.053 eV per atom
* size of the total moment: 0.000 μB/cell
* crystal system: monoclinic

a b c (Å): 11.0233 3.3511 6.3300
angles (deg): 90.00 95.79 90.00
Space group C2/m (No. 12)
Inequivalent atoms, fractional coordinates:
K (0.0000, 0.0000, 0.0000) (multiplicity 2)
Cd (0.2463, 0.0000, 0.7184) (multiplicity 4)
Sb (0.0000, 0.5000, 0.5000) (multiplicity 2)

***

Entry 6:
## ScCr2Sb (GGA-PBE)

Data for crystalline ScCr2Sb at its relaxed geometry.

Properties
* ΔE_f (raw): 0.197 eV per atom
* size of the total moment: 0.000 μB/cell
* crystal system: monoclinic

a b c (Å): 9.4941 3.6515 4.3543
angles (deg): 90.00 114.66 90.00
Space group C2/m (No. 12)
Inequivalent atoms, fractional coordinates:
Sc (0.0000, 0.0000, 0.0000) (multiplicity 2)
Cr (0.2499, 0.0000, 0.6690) (multiplicity 4)
Sb (0.0000, 0.5000, 0.5000) (multiplicity 2)

***

Entry 7:
## Sr3Bi4Pb2 (GGA-PBE)

Data for crystalline Sr3Bi4Pb2 at its relaxed geometry.

Properties
* ΔH_f (0 K): -0.514 eV per atom
* size of the total moment: 0.000 μB/cell
* crystal system: triclinic

a b c (Å): 5.1775 7.7132 9.0998
angles (deg): 70.72 73.48 89.97
Space group P-1 (No. 2)
Inequivalent atoms, fractional coordinates:
Sr (0.0000, 0.0000, 0.0000) (multiplicity 1)
Sr (0.1272, 0.6023, 0.7450) (multiplicity 2)
Bi (0.2232, 0.2682, 0.5552) (multiplicity 2)
Bi (0.4814, 0.6888, 0.0373) (multiplicity 2)
Pb (0.3327, 0.9978, 0.3336) (multiplicity 2)

***

Entry 8:
## MoPb2Br (GGA-PBE)

Data for crystalline MoPb2Br at its relaxed geometry.

Properties
* ΔE_f (raw): 0.316 eV per atom
* size of the total moment: 0.003 μB/cell
* crystal system: orthorhombic

a b c (Å): 3.2980 4.4049 15.9359
angles (deg): 90.00 90.00 90.00
Space group Imm2 (No. 44)
Inequivalent atoms, fractional coordinates:
Mo (0.0000, 0.0000, 0.0000) (multiplicity 2)
Pb (0.0000, 0.0000, 0.5530) (multiplicity 2)
Pb (0.0000, 0.5000, 0.6947) (multiplicity 2)
Br (0.0000, 0.5000, 0.3772) (multiplicity 2)